The following is a DFT calculation (PBEsol) of a relaxed structure of Nb3NiP6O24.

Output
The value obtained for the volume is 13.89 Å³ per atom. The calculation puts the formation energy (no corrections) at -2208 meV/atom. As for the density: 3190 kg/m³.

```
data_Nb3NiP6O24
_chemical_formula_sum 'Nb9 Ni3 P18 O72'
_space_group_name_H-M_alt 'R 3'
_space_group_IT_number 146
_space_group_name_Hall 'R 3'
_cell_length_a 8.5692
_cell_length_b 8.5692
_cell_length_c 22.2759
_cell_angle_alpha 90.00
_cell_angle_beta 90.00
_cell_angle_gamma 120.00
loop_
_atom_site_label
_atom_site_type_symbol
_atom_site_fract_x
_atom_site_fract_y
_atom_site_fract_z
Nb1 Nb 0.0000 0.0000 0.0000
Nb2 Nb 0.0000 0.0000 0.2148
Nb3 Nb 0.0000 0.0000 0.7194
Ni1 Ni 0.0000 0.0000 0.5043
P1 P 0.0073 0.2755 0.6047
P2 P 0.0169 0.7198 0.1096
O1 O 0.0221 0.8242 0.0520
O2 O 0.0555 0.2181 0.2607
O3 O 0.0721 0.2107 0.5523
O4 O 0.1432 0.6683 0.4340
O5 O 0.1546 0.4737 0.6158
O6 O 0.1599 0.4750 0.3307
O7 O 0.1735 0.7116 0.8285
O8 O 0.1986 0.7366 0.1179
```